Below is a geometry-optimized NaOs2Cl structure, with properties calculated at the PBE-GGA level.

Cell and atoms, written as CIF:
```
data_NaOs2Cl
_chemical_formula_sum 'Na1 Os2 Cl1'
_cell_length_a 4.426
_cell_length_b 4.426
_cell_length_c 4.426
_cell_angle_alpha 60.00
_cell_angle_beta 60.00
_cell_angle_gamma 60.00
_symmetry_space_group_name_H-M 'P 1'
_symmetry_Int_Tables_number 1
loop_
_symmetry_equiv_pos_as_xyz
'x,y,z'
loop_
_atom_site_label
_atom_site_fract_x
_atom_site_fract_y
_atom_site_fract_z
_atom_site_occupancy
Na1 0.000 0.000 0.000 1
Os1 0.250 0.250 0.250 1
Os2 0.750 0.750 0.750 1
Cl1 0.500 0.500 0.500 1
```

Values from the calculation:
volume = 15.33 A^3/atom
polymorph energy (0 for the lowest one) = 659.0 meV per atom
calculated total energy = -17.78 eV per formula unit
theoretical density = 11.884 g cm⁻³